Density functional theory data (PBE) for an optimized crystal structure of NdErCuPb.

The space group is F-43m (No. 216) and the conventional cell measures 7.4509, 7.4509 and 7.4509 Å, with angles of 90.00, 90.00 and 90.00 degrees. Symmetry generates all atoms from Nd at (0.0000, 0.0000, 0.0000), Er at (0.0000, 0.0000, 0.5000), Cu at (0.2500, 0.2500, 0.7500) and Pb at (0.2500, 0.2500, 0.2500).

The formation energy comes out at -0.285 eV per atom. Its total energy is -4.569 eV/atom. Its density is 9.35 g/cm3.


Density functional theory data (PBE) for an optimized crystal structure of SrLaSc2Co.

The space group is P4/mmm (No. 123) and the conventional cell measures 5.2268, 5.2268 and 5.2913 Å, with angles of 90.00, 90.00 and 90.00 degrees. Symmetry generates all atoms from Sr at (0.0000, 0.0000, 0.0000), La at (0.5000, 0.5000, 0.0000), Sc at (0.0000, 0.5000, 0.5000) and Co at (0.5000, 0.5000, 0.5000).

The formation energy comes out at -0.010 eV per atom. Its total energy is -5.285 eV/atom. Its density is 4.31 g/cm3.


Density functional theory data (PBE) for an optimized crystal structure of La2OsI.

The space group is P4/mmm (No. 123) and the conventional cell measures 3.6050, 3.6050 and 8.6323 Å, with angles of 90.00, 90.00 and 90.00 degrees. Symmetry generates all atoms from La at (0.0000, 0.0000, 0.2013), Os at (0.5000, 0.5000, 0.0000) and I at (0.5000, 0.5000, 0.5000).

Its total energy is -6.186 eV/atom. Its density is 8.81 g/cm3. The value obtained for the uncorrected formation energy is -0.53 eV/atom.


Density functional theory data (PBE) for an optimized crystal structure of CsTl3P.

The space group is Pm-3m (No. 221) and the conventional cell measures 6.4949, 6.4949 and 6.4949 Å, with angles of 90.00, 90.00 and 90.00 degrees. Symmetry generates all atoms from Cs at (0.0000, 0.0000, 0.0000), Tl at (0.0000, 0.0000, 0.5000) and P at (0.5000, 0.5000, 0.5000).

The formation energy comes out at 1.237 eV per atom. Its total energy is -1.435 eV/atom. Its density is 4.71 g/cm3.


Density functional theory data (PBE) for an optimized crystal structure of UPd2S3.

The space group is P2_1/m (No. 11) and the conventional cell measures 6.3445, 3.9684 and 10.2007 Å, with angles of 90.00, 90.39 and 90.00 degrees. Symmetry generates all atoms from U at (0.1715, 0.2500, 0.3309), Pd at (0.0365, 0.7500, 0.0909), Pd at (0.4109, 0.2500, 0.5831), S at (0.1230, 0.7500, 0.8446), S at (0.1976, 0.7500, 0.5297) and S at (0.3728, 0.7500, 0.2145).

Its total energy is -6.414 eV/atom. Its density is 7.07 g/cm3. The value obtained for the uncorrected formation energy is -0.74 eV/atom.


Density functional theory data (PBE) for an optimized crystal structure of K2GaPbO4.

The space group is I-4 (No. 82) and the conventional cell measures 5.9990, 5.9990 and 8.3178 Å, with angles of 90.00, 90.00 and 90.00 degrees. Symmetry generates all atoms from K at (0.0000, 0.0000, 0.0000), K at (0.0000, 0.5000, 0.2500), Ga at (0.0000, 0.5000, 0.7500), Pb at (0.0000, 0.0000, 0.5000) and O at (0.1600, 0.7203, 0.6363).

Its total energy is -5.054 eV/atom. Its density is 4.65 g/cm3. The value obtained for the uncorrected formation energy is -1.46 eV/atom.


Density functional theory data (PBE) for an optimized crystal structure of Nd2Be2GaRh5.

The space group is P4/mbm (No. 127) and the conventional cell measures 9.6912, 9.6912 and 3.3299 Å, with angles of 90.00, 90.00 and 90.00 degrees. Symmetry generates all atoms from Nd at (0.1776, 0.3224, 0.0000), Be at (0.1195, 0.6195, 0.0000), Ga at (0.0000, 0.0000, 0.0000), Rh at (0.0000, 0.5000, 0.5000) and Rh at (0.0657, 0.7876, 0.5000).

The formation energy comes out at -0.690 eV per atom. Its total energy is -6.367 eV/atom. Its density is 9.46 g/cm3.


Density functional theory data (PBE) for an optimized crystal structure of CoAgSe.

The space group is I4mm (No. 107) and the conventional cell measures 2.9387, 2.9387 and 11.6770 Å, with angles of 90.00, 90.00 and 90.00 degrees. Symmetry generates all atoms from Co at (0.0000, 0.0000, 0.0000), Ag at (0.0000, 0.0000, 0.6674) and Se at (0.0000, 0.0000, 0.4005).

Its total energy is -4.347 eV/atom. Its density is 8.09 g/cm3. The value obtained for the uncorrected formation energy is 0.13 eV/atom.


Density functional theory data (PBE) for an optimized crystal structure of Al3Ga.

The space group is Cmmm (No. 65) and the conventional cell measures 5.6274, 7.9584 and 3.0253 Å, with angles of 90.00, 90.00 and 90.00 degrees. Symmetry generates all atoms from Al at (0.0000, 0.0000, 0.0000), Al at (0.2500, 0.2500, 0.5000) and Ga at (0.0000, 0.5000, 0.0000).

The formation energy comes out at 0.019 eV per atom. Its total energy is -3.545 eV/atom. Its density is 3.69 g/cm3.


Density functional theory data (PBE) for an optimized crystal structure of Al2CuSi5.

The space group is Immm (No. 71) and the conventional cell measures 3.3393, 8.2241 and 9.1999 Å, with angles of 90.00, 90.00 and 90.00 degrees. Symmetry generates all atoms from Al at (0.0000, 0.0000, 0.2087), Cu at (0.0000, 0.5000, 0.5000), Si at (0.0000, 0.0000, 0.5000) and Si at (0.0000, 0.3051, 0.1349).

Its total energy is -4.449 eV/atom. Its density is 3.39 g/cm3. The value obtained for the uncorrected formation energy is 0.39 eV/atom.


Density functional theory data (PBE) for an optimized crystal structure of HfNbFeCuW.

The space group is P1 (No. 1) and the conventional cell measures 3.0689, 5.1235 and 5.4445 Å, with angles of 85.57, 76.01 and 73.95 degrees. Symmetry generates all atoms from Hf at (0.0000, 0.0000, 0.0000), Nb at (0.2504, 0.2325, 0.4438), Fe at (0.5980, 0.6310, 0.2062), Cu at (0.3484, 0.4425, 0.8671) and W at (0.8046, 0.7657, 0.5625).

The formation energy comes out at 0.137 eV per atom. Its total energy is -8.970 eV/atom. Its density is 11.95 g/cm3.


Density functional theory data (PBE) for an optimized crystal structure of LaCoSe.

The space group is Amm2 (No. 38) and the conventional cell measures 10.3609, 3.8042 and 7.4970 Å, with angles of 90.00, 90.00 and 90.00 degrees. Symmetry generates all atoms from La at (0.1689, 0.0000, 0.0000), Co at (0.0000, 0.0000, 0.2325), Co at (0.5000, 0.0000, 0.8383) and Se at (0.3520, 0.0000, 0.3248).

Its total energy is -5.601 eV/atom. Its density is 6.22 g/cm3. The value obtained for the uncorrected formation energy is -0.43 eV/atom.